## Ce2CoBi (PBE)

Data for a geometry-optimized Ce2CoBi structure.

The structure belongs to space group Cmmm (No. 65); the cell edges are 5.047, 17.898 and 4.599 Å and the angles 90.00°, 90.00° and 90.00°. The inequivalent atoms are Ce at (0.000, 0.000, 0.000), Ce at (0.000, 0.194, 0.500), Ce at (0.000, 0.500, 0.500), Co at (0.000, 0.070, 0.500) and Bi at (0.000, 0.352, 0.000).

Its excess energy over the best structure of this formula in the dataset is 13.0 kJ per mole of atoms. The total magnetization comes out at 4.670 μB/cell. The value obtained for the raw total energy is -23.914 eV per formula unit. The formation energy comes out at -0.26 eV/atom.